# 1
Density functional theory data (PBE-GGA) for an optimized crystal structure of AcMg3Ga.

Theoretical density   4.64 Mg/m³
V   26.43 Å³/atom
Energy above the lowest structure with this stoichiometry   0 meV/atom

Lattice parameters (Å, degrees): 4.5358 9.4116 12.3819 90.00 90.00 90.00
Last column: nearest neighbours and their distance in Å.
Sites, in units of the cell vectors:
Mg: 0.7500 0.1458 0.7803  2 Ga 2.94, 4 Mg 3.00-3.25
Mg: 0.7500 0.4454 0.9078  3 Ga 2.83-2.88, 1 Mg 3.00
Mg: 0.2500 0.0546 0.4078  3 Ga 2.83-2.88, 1 Mg 3.00
Mg: 0.2500 0.3983 0.7257  2 Ga 2.80-2.82
Mg: 0.2500 0.5546 0.0922  3 Ga 2.83-2.88, 1 Mg 3.00
Mg: 0.2500 0.3542 0.2803  2 Ga 2.94, 4 Mg 3.00-3.25
Mg: 0.7500 0.1017 0.2257  2 Ga 2.80-2.82
Mg: 0.7500 0.6017 0.2743  2 Ga 2.80-2.82
Mg: 0.7500 0.9454 0.5922  3 Ga 2.83-2.88, 1 Mg 3.00
Mg: 0.2500 0.8542 0.2197  2 Ga 2.94, 4 Mg 3.00-3.25
Mg: 0.7500 0.6458 0.7197  2 Ga 2.94, 4 Mg 3.00-3.25
Mg: 0.2500 0.8983 0.7743  2 Ga 2.80-2.82
Ac: 0.7500 0.8207 0.9959  2 Ga 3.30, 6 Mg 3.58-3.63
Ac: 0.2500 0.6793 0.4959  2 Ga 3.30, 6 Mg 3.58-3.63
Ac: 0.2500 0.1793 0.0041  2 Ga 3.30, 6 Mg 3.58-3.63
Ac: 0.7500 0.3207 0.5041  2 Ga 3.30, 6 Mg 3.58-3.63
Ga: 0.7500 0.8730 0.3703  7 Mg 2.80-2.94
Ga: 0.2500 0.1270 0.6297  7 Mg 2.80-2.94
Ga: 0.2500 0.6270 0.8703  7 Mg 2.80-2.94
Ga: 0.7500 0.3730 0.1297  7 Mg 2.80-2.94

***

# 2
Density functional theory data (PBE-GGA) for an optimized crystal structure of Ac2MgGa.

Theoretical density   7.08 Mg/m³
V   32.12 Å³/atom

Lattice parameters (Å, degrees): 5.6637 5.6637 5.6637 60.00 60.00 60.00
Last column: nearest neighbours and their distance in Å.
Sites, in units of the cell vectors:
Ga: 0.2500 0.2500 0.2500  8 Ac 3.47
Ac: 0.5000 0.5000 0.5000  4 Mg 3.47, 4 Ga 3.47
Ac: 0.0000 0.0000 0.0000  4 Ga 3.47, 4 Mg 3.47
Mg: 0.7500 0.7500 0.7500  8 Ac 3.47

***

# 3
Density functional theory data (PBE-GGA) for an optimized crystal structure of AcMgGa6.

Theoretical density   6.44 Mg/m³
V   21.58 Å³/atom

Lattice parameters (Å, degrees): 4.8087 5.2392 6.8512 90.00 90.00 90.00
Last column: nearest neighbours and their distance in Å.
Sites, in units of the cell vectors:
Ga: 0.5000 0.8678 0.3051  6 Ga 2.67-2.92, 2 Mg 2.91-2.97
Ga: 0.0000 0.6827 0.5000  8 Ga 2.89-3.03, 2 Mg 2.90
Ga: 0.0000 0.1681 0.7013  5 Ga 2.76-3.03, 2 Mg 2.97
Ga: 0.5000 0.8678 0.6949  6 Ga 2.67-2.92, 2 Mg 2.91-2.97
Ga: 0.5000 0.2065 0.0000  2 Ga 2.74
Ga: 0.0000 0.1681 0.2987  5 Ga 2.76-3.03, 2 Mg 2.97
Mg: 0.5000 0.3738 0.5000  10 Ga 2.90-2.97
Ac: 0.0000 0.6650 0.0000  12 Ga 3.31-3.43

***

# 4
Density functional theory data (PBE-GGA) for an optimized crystal structure of AcMg5Ga3.

Theoretical density   4.37 Mg/m³
V   23.55 Å³/atom

Lattice parameters (Å, degrees): 4.3807 7.5078 13.4724 90.00 90.00 106.96
Last column: nearest neighbours and their distance in Å.
Sites, in units of the cell vectors:
Mg: 0.8033 0.6065 0.4440  4 Ga 2.71-2.97, 1 Mg 2.92
Mg: 0.4367 0.8733 0.1433  4 Ga 2.77-2.88, 3 Mg 2.87-3.06
Mg: 0.5633 0.1267 0.8567  4 Ga 2.77-2.88, 3 Mg 2.87-3.06
Mg: 0.1967 0.3935 0.9440  4 Ga 2.71-2.97, 1 Mg 2.92
Mg: 0.0000 0.0000 0.5000  4 Ga 2.87, 6 Mg 2.92-3.06
Mg: 0.0000 0.0000 0.0000  4 Ga 2.87, 6 Mg 2.92-3.06
Mg: 0.8033 0.6065 0.0560  4 Ga 2.71-2.97, 1 Mg 2.92
Mg: 0.1967 0.3935 0.5560  4 Ga 2.71-2.97, 1 Mg 2.92
Mg: 0.4367 0.8733 0.3567  4 Ga 2.77-2.88, 3 Mg 2.87-3.06
Mg: 0.5633 0.1267 0.6433  4 Ga 2.77-2.88, 3 Mg 2.87-3.06
Ga: 0.3856 0.7712 0.9364  7 Mg 2.71-2.97
Ga: 0.6144 0.2288 0.0636  7 Mg 2.71-2.97
Ga: 0.3856 0.7712 0.5636  7 Mg 2.71-2.97
Ga: 0.1329 0.2659 0.7500  6 Mg 2.77-2.80
Ga: 0.6144 0.2288 0.4364  7 Mg 2.71-2.97
Ga: 0.8671 0.7341 0.2500  6 Mg 2.77-2.80
Ac: 0.1610 0.3220 0.2500  6 Ga 3.40-3.68
Ac: 0.8390 0.6780 0.7500  6 Ga 3.40-3.68

***

# 5
Density functional theory data (PBE-GGA) for an optimized crystal structure of AcMg3Ga.

Theoretical density   4.64 Mg/m³
V   26.44 Å³/atom
Energy above the lowest structure with this stoichiometry   3 meV/atom

Lattice parameters (Å, degrees): 4.5305 7.6173 7.9865 73.60 90.00 90.00
Last column: nearest neighbours and their distance in Å.
Sites, in units of the cell vectors:
Ac: 0.3807 0.5294 0.2355  2 Ga 3.31, 4 Mg 3.54-3.56
Ac: 0.8806 0.1454 0.5707  2 Ga 3.31, 4 Mg 3.54-3.56
Ga: 0.3809 0.8159 0.6615  7 Mg 2.82-2.91
Ga: 0.8808 0.8590 0.1445  7 Mg 2.82-2.91
Mg: 0.8814 0.6748 0.5104  3 Ga 2.86-2.91, 1 Mg 2.97
Mg: 0.3806 0.9949 0.9259  3 Ga 2.82-2.87, 1 Mg 2.96
Mg: 0.3815 0.4282 0.7556  1 Ga 2.83
Mg: 0.3812 0.0002 0.2953  3 Ga 2.86-2.91, 1 Mg 2.96
Mg: 0.8813 0.6796 0.8804  3 Ga 2.82-2.87, 1 Mg 2.97
Mg: 0.8809 0.2466 0.0504  1 Ga 2.83

***

# 6
Density functional theory data (PBE-GGA) for an optimized crystal structure of AcMg6Ga4.

Theoretical density   4.45 Mg/m³
V   22.12 Å³/atom

Lattice parameters (Å, degrees): 4.4507 7.9451 7.9451 120.00 90.00 90.00
Last column: nearest neighbours and their distance in Å.
Sites, in units of the cell vectors:
Mg: 0.0000 0.9326 0.4663  5 Ga 2.76-2.88
Mg: 0.5000 0.2058 0.4116  4 Ga 2.79-2.83, 2 Mg 3.04
Mg: 0.0000 0.5337 0.0674  5 Ga 2.76-2.88
Mg: 0.5000 0.5884 0.7942  4 Ga 2.79-2.83, 2 Mg 3.04
Mg: 0.5000 0.2058 0.7942  4 Ga 2.79-2.83, 2 Mg 3.04
Mg: 0.0000 0.5337 0.4663  5 Ga 2.76-2.88
Ga: 0.5000 0.8000 0.5999  6 Mg 2.79-2.88
Ga: 0.5000 0.8000 0.2000  6 Mg 2.79-2.88
Ga: 0.0000 0.3333 0.6667  9 Mg 2.76-2.83
Ga: 0.5000 0.4001 0.2000  6 Mg 2.79-2.88
Ac: 0.0000 0.0000 0.0000  6 Ga 3.54, 6 Mg 3.60

***

# 7
Density functional theory data (PBE-GGA) for an optimized crystal structure of Ac3Mg5Ga12.

Theoretical density   4.43 Mg/m³
V   30.74 Å³/atom

Lattice parameters (Å, degrees): 14.7283 14.7283 14.7283 109.47 109.47 109.47
Last column: nearest neighbours and their distance in Å.
Sites, in units of the cell vectors:
Mg: 0.6250 0.7500 0.8750  4 Ga 2.92
Mg: 0.2500 0.3750 0.6250  4 Ga 2.92
Mg: 0.1250 0.7500 0.3750  4 Ga 2.92
Mg: 0.0000 0.0000 0.5000  6 Ga 2.65
Mg: 0.5000 0.0000 0.0000  6 Ga 2.65
Mg: 0.3750 0.2500 0.1250  4 Ga 2.92
Mg: 0.1250 0.3750 0.2500  4 Ga 2.92
Mg: 0.8750 0.2500 0.6250  4 Ga 2.92
Mg: 0.7500 0.1250 0.8750  4 Ga 2.92
Mg: 0.5000 0.0000 0.5000  6 Ga 2.65
Mg: 0.0000 0.5000 0.0000  6 Ga 2.65
Mg: 0.5000 0.5000 0.5000  6 Ga 2.65
Mg: 0.5000 0.5000 0.0000  6 Ga 2.65
Mg: 0.0000 0.0000 0.0000  6 Ga 2.65
Mg: 0.7500 0.6250 0.3750  4 Ga 2.92
Mg: 0.3750 0.1250 0.7500  4 Ga 2.92
Mg: 0.0000 0.5000 0.5000  6 Ga 2.65
Mg: 0.2500 0.8750 0.1250  4 Ga 2.92
Mg: 0.8750 0.6250 0.7500  4 Ga 2.92
Mg: 0.6250 0.8750 0.2500  4 Ga 2.92
Ac: 0.7500 0.3750 0.1250  8 Ga 3.13-3.18
Ac: 0.3750 0.6250 0.2500  8 Ga 3.13-3.18
Ac: 0.7500 0.8750 0.6250  8 Ga 3.13-3.18
Ac: 0.1250 0.8750 0.7500  8 Ga 3.13-3.18
Ac: 0.2500 0.1250 0.3750  8 Ga 3.13-3.18
Ac: 0.2500 0.6250 0.8750  8 Ga 3.13-3.18
Ac: 0.6250 0.2500 0.3750  8 Ga 3.13-3.18
Ac: 0.8750 0.7500 0.1250  8 Ga 3.13-3.18
Ac: 0.8750 0.1250 0.2500  8 Ga 3.13-3.18
Ac: 0.3750 0.7500 0.6250  8 Ga 3.13-3.18
Ac: 0.6250 0.3750 0.7500  8 Ga 3.13-3.18
Ac: 0.1250 0.2500 0.8750  8 Ga 3.13-3.18
Ga: 0.8487 0.9224 0.2928  2 Mg 2.65-2.92
Ga: 0.6513 0.2072 0.5776  2 Mg 2.65-2.92
Ga: 0.5559 0.2072 0.1296  2 Mg 2.65-2.92
Ga: 0.9441 0.3704 0.2928  2 Mg 2.65-2.92
Ga: 0.3487 0.5559 0.4264  2 Mg 2.65-2.92
Ga: 0.0776 0.9264 0.3704  2 Mg 2.65-2.92
Ga: 0.7072 0.1296 0.0559  2 Mg 2.65-2.92
Ga: 0.3704 0.9441 0.7928  2 Mg 2.65-2.92
Ga: 0.2072 0.6513 0.0776  2 Mg 2.65-2.92
Ga: 0.7928 0.3487 0.9224  2 Mg 2.65-2.92
Ga: 0.1296 0.7072 0.5559  2 Mg 2.65-2.92
Ga: 0.5736 0.9441 0.6513  2 Mg 2.65-2.92
Ga: 0.8487 0.9264 0.0559  2 Mg 2.65-2.92
Ga: 0.8704 0.5776 0.9264  2 Mg 2.65-2.92
Ga: 0.0736 0.9224 0.1296  2 Mg 2.65-2.92
Ga: 0.9441 0.5736 0.1513  2 Mg 2.65-2.92
Ga: 0.9264 0.8487 0.5559  2 Mg 2.65-2.92
Ga: 0.2072 0.5559 0.6296  2 Mg 2.65-2.92
Ga: 0.9224 0.8487 0.7928  2 Mg 2.65-2.92
Ga: 0.4441 0.7928 0.8704  2 Mg 2.65-2.92
Ga: 0.3487 0.7928 0.4224  2 Mg 2.65-2.92
Ga: 0.0559 0.4264 0.8487  2 Mg 2.65-2.92
Ga: 0.4264 0.3704 0.5776  2 Mg 2.65-2.92
Ga: 0.0736 0.1513 0.4441  2 Mg 2.65-2.92
Ga: 0.1513 0.0776 0.7072  2 Mg 2.65-2.92
Ga: 0.9224 0.0736 0.6296  2 Mg 2.65-2.92
Ga: 0.5559 0.3487 0.9264  2 Mg 2.65-2.92
Ga: 0.2928 0.8704 0.9441  2 Mg 2.65-2.92
Ga: 0.2928 0.4224 0.8487  2 Mg 2.65-2.92
Ga: 0.1513 0.0736 0.9441  2 Mg 2.65-2.92
Ga: 0.9264 0.0776 0.8704  2 Mg 2.65-2.92
Ga: 0.4441 0.6513 0.0736  2 Mg 2.65-2.92
Ga: 0.4224 0.2928 0.3487  2 Mg 2.65-2.92
Ga: 0.0559 0.6296 0.7072  2 Mg 2.65-2.92
Ga: 0.4264 0.0559 0.3487  2 Mg 2.65-2.92
Ga: 0.6296 0.0559 0.2072  2 Mg 2.65-2.92
Ga: 0.3704 0.4264 0.0776  2 Mg 2.65-2.92
Ga: 0.7928 0.4441 0.3704  2 Mg 2.65-2.92
Ga: 0.4224 0.1296 0.5736  2 Mg 2.65-2.92
Ga: 0.5776 0.7072 0.6513  2 Mg 2.65-2.92
Ga: 0.8704 0.2928 0.4441  2 Mg 2.65-2.92
Ga: 0.5736 0.6296 0.4224  2 Mg 2.65-2.92
Ga: 0.0776 0.1513 0.2072  2 Mg 2.65-2.92
Ga: 0.5776 0.8704 0.4264  2 Mg 2.65-2.92
Ga: 0.1296 0.4224 0.0736  2 Mg 2.65-2.92
Ga: 0.6513 0.4441 0.5736  2 Mg 2.65-2.92
Ga: 0.6296 0.5736 0.9224  2 Mg 2.65-2.92
Ga: 0.7072 0.5776 0.1513  2 Mg 2.65-2.92

***

# 8
Density functional theory data (PBE-GGA) for an optimized crystal structure of Ac8MgGa2.

Theoretical density   7.88 Mg/m³
V   37.94 Å³/atom

Lattice parameters (Å, degrees): 5.4073 8.3015 10.2067 108.46 105.36 90.00
Last column: nearest neighbours and their distance in Å.
Sites, in units of the cell vectors:
Ac: 0.6735 0.9600 0.3470  3 Ga 3.22-3.58, 1 Mg 3.54
Ac: 0.0354 0.7577 0.0707  1 Ga 3.28, 2 Mg 3.57
Ac: 0.3265 0.0400 0.6530  3 Ga 3.22-3.58, 1 Mg 3.54
Ac: 0.1931 0.3034 0.3862  3 Ga 3.25-3.53
Ac: 0.9646 0.2423 0.9293  1 Ga 3.28, 2 Mg 3.57
Ac: 0.5935 0.4701 0.1869  2 Ga 3.48, 1 Mg 3.73, 6 Ac 3.76-3.87
Ac: 0.8069 0.6966 0.6138  3 Ga 3.25-3.53
Ac: 0.4065 0.5299 0.8131  2 Ga 3.48, 1 Mg 3.73, 6 Ac 3.76-3.87
Mg: 0.5000 0.0000 0.0000  8 Ac 3.54-3.73
Ga: 0.1912 0.6931 0.3823  9 Ac 3.22-3.58
Ga: 0.8088 0.3069 0.6177  9 Ac 3.22-3.58

***

# 9
Density functional theory data (PBE-GGA) for an optimized crystal structure of AcMg11Ga.

Theoretical density   3.01 Mg/m³
V   23.96 Å³/atom

Lattice parameters (Å, degrees): 5.9020 7.7849 7.8608 82.10 67.95 68.53
Last column: nearest neighbours and their distance in Å.
Sites, in units of the cell vectors:
Mg: 0.0039 0.6424 0.3502  8 Mg 3.00-3.33, 1 Ga 3.13
Mg: 0.5000 0.0000 0.5000  10 Mg 2.95-3.19
Mg: 0.2881 0.2210 0.2132  1 Ga 2.92, 7 Mg 2.98-3.23
Mg: 0.5013 0.2210 0.7868  1 Ga 2.92, 7 Mg 2.98-3.23
Mg: 0.0000 0.5000 0.0000  2 Ga 2.95, 8 Mg 2.98-3.12
Mg: 0.0000 0.0000 0.5000  10 Mg 2.95-3.19
Mg: 0.3541 0.6424 0.6498  8 Mg 3.00-3.33, 1 Ga 3.13
Mg: 0.7119 0.7790 0.7868  1 Ga 2.92, 7 Mg 2.98-3.23
Mg: 0.9961 0.3576 0.6498  8 Mg 3.00-3.33, 1 Ga 3.13
Mg: 0.6459 0.3576 0.3502  8 Mg 3.00-3.33, 1 Ga 3.13
Mg: 0.4987 0.7790 0.2132  1 Ga 2.92, 7 Mg 2.98-3.23
Ac: 0.0000 0.0000 0.0000  18 Mg 3.64-3.93, 2 Ga 3.93
Ga: 0.5000 0.5000 0.0000  10 Mg 2.92-3.13

***

# 10
Density functional theory data (PBE-GGA) for an optimized crystal structure of Ac5Mg4Ga.

Theoretical density   6.39 Mg/m³
V   33.86 Å³/atom

Lattice parameters (Å, degrees): 4.0600 4.0600 20.5397 90.00 90.00 90.00
Last column: nearest neighbours and their distance in Å.
Sites, in units of the cell vectors:
Ac: 0.5000 0.5000 0.2968  8 Mg 3.54-3.55
Ac: 0.5000 0.5000 0.9102  4 Ga 3.41, 4 Mg 3.60, 1 Ac 3.69
Ac: 0.5000 0.5000 0.7032  8 Mg 3.54-3.55
Ac: 0.5000 0.5000 0.5000  8 Mg 3.55
Ac: 0.5000 0.5000 0.0898  4 Ga 3.41, 4 Mg 3.60, 1 Ac 3.69
Mg: 0.0000 0.0000 0.8041  8 Ac 3.54-3.60
Mg: 0.0000 0.0000 0.3983  8 Ac 3.55
Mg: 0.0000 0.0000 0.1959  8 Ac 3.54-3.60
Mg: 0.0000 0.0000 0.6017  8 Ac 3.55
Ga: 0.0000 0.0000 0.0000  8 Ac 3.41

***

# 11
Density functional theory data (PBE-GGA) for an optimized crystal structure of AcMgGa.

Theoretical density   6.23 Mg/m³
V   28.53 Å³/atom
Energy above the lowest structure with this stoichiometry   95 meV/atom

Lattice parameters (Å, degrees): 4.0536 4.9376 4.9376 120.00 90.00 90.00
Last column: nearest neighbours and their distance in Å.
Sites, in units of the cell vectors:
Ga: 0.1661 0.0000 0.0000  3 Mg 2.85
Ac: 0.6669 0.6667 0.3333  6 Ga 3.50, 6 Mg 3.50
Mg: 0.1670 0.3333 0.6667  3 Ga 2.85

***

# 12
Density functional theory data (PBE-GGA) for an optimized crystal structure of Ac3Mg7Ga4.

Theoretical density   5.25 Mg/m³
V   25.55 Å³/atom

Lattice parameters (Å, degrees): 4.7299 9.1408 9.2875 69.70 75.25 75.01
Last column: nearest neighbours and their distance in Å.
Sites, in units of the cell vectors:
Mg: 0.1617 0.6036 0.0730  3 Ga 2.85-2.95
Mg: 0.3292 0.8247 0.5169  4 Ga 2.80-2.95, 1 Mg 2.97
Mg: 0.0000 0.0000 0.0000  2 Ga 2.96, 4 Mg 3.21
Mg: 0.6708 0.1753 0.4831  4 Ga 2.80-2.95, 1 Mg 2.97
Mg: 0.8383 0.3964 0.9270  3 Ga 2.85-2.95
Mg: 0.4928 0.2137 0.8006  3 Ga 2.81-3.06, 1 Mg 2.97
Mg: 0.5072 0.7863 0.1994  3 Ga 2.81-3.06, 1 Mg 2.97
Ga: 0.6543 0.4598 0.2317  5 Mg 2.81-2.95
Ga: 0.1281 0.0888 0.6549  6 Mg 2.80-3.06
Ga: 0.8719 0.9112 0.3451  6 Mg 2.80-3.06
Ga: 0.3457 0.5402 0.7683  5 Mg 2.81-2.95
Ac: 0.3012 0.1888 0.2088  4 Ga 3.36-3.41, 10 Mg 3.39-3.71
Ac: 0.0000 0.5000 0.5000  6 Ga 3.47-3.48, 6 Mg 3.67-3.75
Ac: 0.6988 0.8112 0.7912  4 Ga 3.36-3.41, 10 Mg 3.39-3.71

***

DFT total energy: -51.882 -13.827 -25.965 -46.392 -25.913 -28.527 -208.054 -41.898 -25.989 -31.434 -9.701 -40.149 (eV per cell)